Crystalline ThScS at its relaxed geometry, computed with PBE.

Cell and atoms, written as CIF:
```
data_ThScS
_symmetry_space_group_name_H-M 'P 3 m 1'
_symmetry_Int_Tables_number 156
_cell_length_a 4.5763
_cell_length_b 4.5763
_cell_length_c 3.8036
_cell_angle_alpha 90.00
_cell_angle_beta 90.00
_cell_angle_gamma 120.00
loop_
_symmetry_equiv_pos_as_xyz
'x,y,z'
'-y,x-y,z'
'-x+y,-x,z'
'-y,-x,z'
'-x+y,y,z'
'x,x-y,z'
loop_
_atom_site_label
_atom_site_type_symbol
_atom_site_fract_x
_atom_site_fract_y
_atom_site_fract_z
Th1 Th 0.0000 0.0000 0.0000
Sc1 Sc 0.3333 0.6667 0.4771
S1 S 0.6667 0.3333 0.4307
```

***

Crystalline Th2ScS3 at its relaxed geometry, computed with PBE.

Cell and atoms, written as CIF:
```
data_Th2ScS3
_symmetry_space_group_name_H-M 'C 1 2/m 1'
_symmetry_Int_Tables_number 12
_cell_length_a 6.767
_cell_length_b 11.689
_cell_length_c 6.927
_cell_angle_alpha 90.00
_cell_angle_beta 108.98
_cell_angle_gamma 90.00
loop_
_symmetry_equiv_pos_as_xyz
'x,y,z'
'-x,-y,-z'
'-x,y,-z'
'x,-y,z'
'x+1/2,y+1/2,z'
'-x+1/2,-y+1/2,-z'
'-x+1/2,y+1/2,-z'
'x+1/2,-y+1/2,z'
loop_
_atom_site_label
_atom_site_type_symbol
_atom_site_fract_x
_atom_site_fract_y
_atom_site_fract_z
Th1 Th 0.000 0.000 0.000
Th2 Th 0.000 0.160 0.500
Th3 Th 0.000 0.500 0.500
Sc1 Sc 0.000 0.333 0.000
S1 S 0.223 0.500 0.223
S2 S 0.248 0.324 0.769
```

***

Crystalline Th2Sc2S7 at its relaxed geometry, computed with PBE.

Cell and atoms, written as CIF:
```
data_Th2Sc2S7
_symmetry_space_group_name_H-M 'I m m 2'
_symmetry_Int_Tables_number 44
_cell_length_a 3.984
_cell_length_b 13.487
_cell_length_c 8.595
_cell_angle_alpha 90.00
_cell_angle_beta 90.00
_cell_angle_gamma 90.00
loop_
_symmetry_equiv_pos_as_xyz
'x,y,z'
'-x,-y,z'
'-x,y,z'
'x,-y,z'
'x+1/2,y+1/2,z+1/2'
'-x+1/2,-y+1/2,z+1/2'
'-x+1/2,y+1/2,z+1/2'
'x+1/2,-y+1/2,z+1/2'
loop_
_atom_site_label
_atom_site_type_symbol
_atom_site_fract_x
_atom_site_fract_y
_atom_site_fract_z
Th1 Th 0.000 0.234 0.000
Sc1 Sc 0.000 0.000 0.738
Sc2 Sc 0.000 0.500 0.781
S1 S 0.000 0.000 0.071
S2 S 0.000 0.109 0.478
S3 S 0.000 0.320 0.702
S4 S 0.000 0.369 0.293
```

***

Crystalline Th4ScS5 at its relaxed geometry, computed with PBE.

Cell and atoms, written as CIF:
```
data_Th4ScS5
_symmetry_space_group_name_H-M 'I 4/m'
_symmetry_Int_Tables_number 87
_symmetry_space_group_name_Hall '-I 4'
_cell_length_a 8.903
_cell_length_b 8.903
_cell_length_c 5.658
_cell_angle_alpha 90.00
_cell_angle_beta 90.00
_cell_angle_gamma 90.00
loop_
_atom_site_label
_atom_site_type_symbol
_atom_site_fract_x
_atom_site_fract_y
_atom_site_fract_z
Th1 Th 0.095 0.304 0.000
Sc1 Sc 0.000 0.000 0.500
S1 S 0.000 0.000 0.000
S2 S 0.099 0.283 0.500
```

***

Crystalline Tm3Th4ScS8 at its relaxed geometry, computed with PBE.

Cell and atoms, written as CIF:
```
data_Tm3Th4ScS8
_symmetry_space_group_name_H-M 'R -3 m'
_symmetry_Int_Tables_number 166
_symmetry_space_group_name_Hall '-R 3 2"'
_cell_length_a 7.6871
_cell_length_b 7.6871
_cell_length_c 20.0835
_cell_angle_alpha 90.00
_cell_angle_beta 90.00
_cell_angle_gamma 120.00
loop_
_atom_site_label
_atom_site_type_symbol
_atom_site_fract_x
_atom_site_fract_y
_atom_site_fract_z
Tm1 Tm 0.0000 0.5000 0.0000
Th1 Th 0.0000 0.0000 0.5000
Th2 Th 0.0000 0.5000 0.5000
Sc1 Sc 0.0000 0.0000 0.0000
S1 S 0.0000 0.0000 0.2575
S2 S 0.0051 0.5025 0.7416
```

***

Crystalline Tm2Th3ScS6 at its relaxed geometry, computed with PBE.

Cell and atoms, written as CIF:
```
data_Tm2Th3ScS6
_symmetry_space_group_name_H-M 'C 1 2/m 1'
_symmetry_Int_Tables_number 12
_cell_length_a 17.486
_cell_length_b 3.839
_cell_length_c 8.028
_cell_angle_alpha 90.00
_cell_angle_beta 108.13
_cell_angle_gamma 90.00
loop_
_symmetry_equiv_pos_as_xyz
'x,y,z'
'-x,-y,-z'
'-x,y,-z'
'x,-y,z'
'x+1/2,y+1/2,z'
'-x+1/2,-y+1/2,-z'
'-x+1/2,y+1/2,-z'
'x+1/2,-y+1/2,z'
loop_
_atom_site_label
_atom_site_type_symbol
_atom_site_fract_x
_atom_site_fract_y
_atom_site_fract_z
Tm1 Tm 0.165 0.000 0.331
Th1 Th 0.000 0.500 0.500
Th2 Th 0.167 0.000 0.833
Sc1 Sc 0.000 0.500 0.000
S1 S 0.004 0.000 0.230
S2 S 0.158 0.500 0.093
S3 S 0.172 0.500 0.570
```

***

Crystalline TmTh4Sc3S8 at its relaxed geometry, computed with PBE.

Cell and atoms, written as CIF:
```
data_TmTh4Sc3S8
_symmetry_space_group_name_H-M 'R -3 m'
_symmetry_Int_Tables_number 166
_symmetry_space_group_name_Hall '-R 3 2"'
_cell_length_a 7.6165
_cell_length_b 7.6165
_cell_length_c 19.9020
_cell_angle_alpha 90.00
_cell_angle_beta 90.00
_cell_angle_gamma 120.00
loop_
_atom_site_label
_atom_site_type_symbol
_atom_site_fract_x
_atom_site_fract_y
_atom_site_fract_z
Tm1 Tm 0.0000 0.0000 0.0000
Th1 Th 0.0000 0.0000 0.5000
Th2 Th 0.0000 0.5000 0.5000
Sc1 Sc 0.0000 0.5000 0.0000
S1 S 0.0000 0.0000 0.2606
S2 S 0.0054 0.5027 0.2596
```

***

Crystalline YTh2ScS4 at its relaxed geometry, computed with PBE.

Cell and atoms, written as CIF:
```
data_YTh2ScS4
_symmetry_space_group_name_H-M 'P 1 2/m 1'
_symmetry_Int_Tables_number 10
_cell_length_a 6.647
_cell_length_b 3.873
_cell_length_c 7.037
_cell_angle_alpha 90.00
_cell_angle_beta 108.60
_cell_angle_gamma 90.00
loop_
_symmetry_equiv_pos_as_xyz
'x,y,z'
'-x,-y,-z'
'-x,y,-z'
'x,-y,z'
loop_
_atom_site_label
_atom_site_type_symbol
_atom_site_fract_x
_atom_site_fract_y
_atom_site_fract_z
Y1 Y 0.000 0.000 0.000
Th1 Th 0.000 0.500 0.500
Th2 Th 0.500 0.000 0.500
Sc1 Sc 0.500 0.500 0.000
S1 S 0.252 0.500 0.228
S2 S 0.267 0.000 0.776
```

***

Crystalline Y3Th4ScS8 at its relaxed geometry, computed with PBE.

Cell and atoms, written as CIF:
```
data_Y3Th4ScS8
_symmetry_space_group_name_H-M 'R -3 m'
_symmetry_Int_Tables_number 166
_symmetry_space_group_name_Hall '-R 3 2"'
_cell_length_a 7.7682
_cell_length_b 7.7682
_cell_length_c 20.0909
_cell_angle_alpha 90.00
_cell_angle_beta 90.00
_cell_angle_gamma 120.00
loop_
_atom_site_label
_atom_site_type_symbol
_atom_site_fract_x
_atom_site_fract_y
_atom_site_fract_z
Y1 Y 0.0000 0.5000 0.0000
Th1 Th 0.0000 0.0000 0.5000
Th2 Th 0.0000 0.5000 0.5000
Sc1 Sc 0.0000 0.0000 0.0000
S1 S 0.0000 0.0000 0.2552
S2 S 0.0080 0.5040 0.7431
```

***

Crystalline YThSc2S4 at its relaxed geometry, computed with PBE.

Cell and atoms, written as CIF:
```
data_YThSc2S4
_symmetry_space_group_name_H-M 'P 1 2/m 1'
_symmetry_Int_Tables_number 10
_cell_length_a 6.638
_cell_length_b 3.805
_cell_length_c 6.724
_cell_angle_alpha 90.00
_cell_angle_beta 109.04
_cell_angle_gamma 90.00
loop_
_symmetry_equiv_pos_as_xyz
'x,y,z'
'-x,-y,-z'
'-x,y,-z'
'x,-y,z'
loop_
_atom_site_label
_atom_site_type_symbol
_atom_site_fract_x
_atom_site_fract_y
_atom_site_fract_z
Y1 Y 0.000 0.000 0.000
Th1 Th 0.500 0.500 0.000
Sc1 Sc 0.000 0.500 0.500
Sc2 Sc 0.500 0.000 0.500
S1 S 0.235 0.000 0.723
S2 S 0.252 0.500 0.272
```

***

# PBE ScTi2S2, relaxed
data_ScTi2S2
_symmetry_space_group_name_H-M 'P 4/m b m'
_symmetry_Int_Tables_number 127
_symmetry_space_group_name_Hall '-P 4 2ab'
_cell_length_a 6.877
_cell_length_b 6.877
_cell_length_c 3.243
_cell_angle_alpha 90.00
_cell_angle_beta 90.00
_cell_angle_gamma 90.00
loop_
_atom_site_label
_atom_site_type_symbol
_atom_site_fract_x
_atom_site_fract_y
_atom_site_fract_z
Sc1 Sc 0.000 0.000 0.000
Ti1 Ti 0.148 0.352 0.500
S1 S 0.150 0.650 0.000
# * energy relative to the lowest polymorph listed for this composition: 0 meV/atom

***

# PBE ScTi2S2, relaxed
data_ScTi2S2
_symmetry_space_group_name_H-M 'I 4/m m m'
_symmetry_Int_Tables_number 139
_symmetry_space_group_name_Hall '-I 4 2'
_cell_length_a 4.610
_cell_length_b 4.610
_cell_length_c 8.123
_cell_angle_alpha 90.00
_cell_angle_beta 90.00
_cell_angle_gamma 90.00
loop_
_atom_site_label
_atom_site_type_symbol
_atom_site_fract_x
_atom_site_fract_y
_atom_site_fract_z
Sc1 Sc 0.000 0.000 0.000
Ti1 Ti 0.000 0.000 0.354
S1 S 0.000 0.500 0.250
# * energy relative to the lowest polymorph listed for this composition: 287 meV/atom

***

| no. | formation energy without anion corrections (meV per atom) |
| --- | --- |
| 1 | -617.1 |
| 2 | -1810.2 |
| 3 | -1861.1 |
| 4 | -1808.3 |
| 5 | -1873.8 |
| 6 | -1858.0 |
| 7 | -1845.9 |
| 8 | -1856.0 |
| 9 | -1888.4 |
| 10 | -1860.3 |
| 11 | -1086.8 |
| 12 | -799.9 |